Version i
VASP calculation (GGA-PBE) on an optimized crystal structure of Pr8YSc2.

```
data_Pr8YSc2
_chemical_formula_sum 'Pr8 Y1 Sc2'
_space_group_name_H-M_alt 'P 1'
_space_group_IT_number 1
_space_group_name_Hall 'P 1'
_cell_length_a 5.9575
_cell_length_b 9.1190
_cell_length_c 9.3568
_cell_angle_alpha 60.84
_cell_angle_beta 74.94
_cell_angle_gamma 57.77
loop_
_atom_site_label
_atom_site_type_symbol
_atom_site_fract_x
_atom_site_fract_y
_atom_site_fract_z
Pr1 Pr 0.8273 0.0959 0.2407
Pr2 Pr 0.8273 0.3366 0.7593
Pr3 Pr 0.2955 0.4199 0.0000
Pr4 Pr 0.5000 0.7912 0.4175
Pr5 Pr 0.5000 0.2088 0.5825
Pr6 Pr 0.7045 0.5801 0.0000
Pr7 Pr 0.1727 0.6634 0.2407
Pr8 Pr 0.1727 0.9041 0.7593
Y1 Y 0.5000 0.0000 0.0000
Sc1 Sc 0.0000 0.3107 0.3786
Sc2 Sc 0.0000 0.6893 0.6214
```

Version ii
VASP calculation (GGA-PBE) on an optimized crystal structure of Pr8YSc2.

```
data_Pr8YSc2
_chemical_formula_sum 'Pr8 Y1 Sc2'
_space_group_name_H-M_alt 'P 1'
_space_group_IT_number 1
_space_group_name_Hall 'P 1'
_cell_length_a 5.5657
_cell_length_b 8.6071
_cell_length_c 9.3784
_cell_angle_alpha 117.32
_cell_angle_beta 107.26
_cell_angle_gamma 90.00
loop_
_atom_site_label
_atom_site_type_symbol
_atom_site_fract_x
_atom_site_fract_y
_atom_site_fract_z
Pr1 Pr 0.6455 0.8471 0.2910
Pr2 Pr 0.3545 0.5561 0.7090
Pr3 Pr 0.1587 0.1587 0.3173
Pr4 Pr 0.0000 0.3034 0.0000
Pr5 Pr 0.8413 0.8413 0.6827
Pr6 Pr 0.6455 0.4439 0.2910
Pr7 Pr 0.3545 0.1529 0.7090
Pr8 Pr 0.0000 0.6966 0.0000
Y1 Y 0.5000 0.0000 0.0000
Sc1 Sc 0.2024 0.7024 0.4048
Sc2 Sc 0.7976 0.2976 0.5952
```

The most stable arrangement is version ii, and the next structure is 0.032 eV/atom less stable.

Version i
VASP calculation (GGA-PBE) on an optimized crystal structure of PrY6Sc3.

```
data_PrY6Sc3
_chemical_formula_sum 'Pr1 Y6 Sc3'
_space_group_name_H-M_alt 'P 1'
_space_group_IT_number 1
_space_group_name_Hall 'P 1'
_cell_length_a 9.6868
_cell_length_b 9.6868
_cell_length_c 6.7525
_cell_angle_alpha 44.17
_cell_angle_beta 44.17
_cell_angle_gamma 60.00
loop_
_atom_site_label
_atom_site_type_symbol
_atom_site_fract_x
_atom_site_fract_y
_atom_site_fract_z
Pr1 Pr 0.8998 0.8998 0.3007
Y1 Y 0.9008 0.5589 0.2987
Y2 Y 0.2415 0.9008 0.2987
Y3 Y 0.5589 0.2415 0.2987
Y4 Y 0.0663 0.4006 0.7987
Y5 Y 0.7344 0.0663 0.7987
Y6 Y 0.4006 0.7344 0.7987
Sc1 Sc 0.3994 0.3994 0.8019
Sc2 Sc 0.6389 0.6389 0.0834
Sc3 Sc 0.1594 0.1594 0.5217
```

Version ii
VASP calculation (GGA-PBE) on an optimized crystal structure of PrY6Sc3.

```
data_PrY6Sc3
_chemical_formula_sum 'Pr2 Y12 Sc6'
_space_group_name_H-M_alt 'P 1'
_space_group_IT_number 1
_space_group_name_Hall 'P 1'
_cell_length_a 6.2893
_cell_length_b 10.7506
_cell_length_c 10.7506
_cell_angle_alpha 122.99
_cell_angle_beta 90.00
_cell_angle_gamma 90.00
loop_
_atom_site_label
_atom_site_type_symbol
_atom_site_fract_x
_atom_site_fract_y
_atom_site_fract_z
Pr1 Pr 0.2147 0.2121 0.7879
Pr2 Pr 0.7147 0.7879 0.2121
Y1 Y 0.0231 0.7052 0.6370
Y2 Y 0.5231 0.6370 0.7052
Y3 Y 0.3574 0.5695 0.9744
Y4 Y 0.8574 0.9744 0.5695
Y5 Y 0.3456 0.9557 0.0443
Y6 Y 0.6780 0.3161 0.6839
Y7 Y 0.1780 0.6839 0.3161
Y8 Y 0.8456 0.0443 0.9557
Y9 Y 0.3574 0.0256 0.4305
Y10 Y 0.8574 0.4305 0.0256
Y11 Y 0.0231 0.3630 0.2948
Y12 Y 0.5231 0.2948 0.3630
Sc1 Sc 0.4233 0.9199 0.6896
Sc2 Sc 0.9233 0.6896 0.9199
Sc3 Sc 0.1395 0.3850 0.6150
Sc4 Sc 0.6395 0.6150 0.3850
Sc5 Sc 0.9233 0.0801 0.3104
Sc6 Sc 0.4233 0.3104 0.0801
```

The most stable arrangement is version ii, and the next structure is 0.013 eV/atom less stable.

Version i
VASP calculation (GGA-PBE) on an optimized crystal structure of Pr2Y3Sc.

```
data_Pr2Y3Sc
_chemical_formula_sum 'Pr4 Y6 Sc2'
_space_group_name_H-M_alt 'P 1'
_space_group_IT_number 1
_space_group_name_Hall 'P 1'
_cell_length_a 3.3734
_cell_length_b 6.6454
_cell_length_c 17.4544
_cell_angle_alpha 90.00
_cell_angle_beta 90.00
_cell_angle_gamma 90.00
loop_
_atom_site_label
_atom_site_type_symbol
_atom_site_fract_x
_atom_site_fract_y
_atom_site_fract_z
Pr1 Pr 0.5000 0.7474 0.1490
Pr2 Pr 0.0000 0.2474 0.3510
Pr3 Pr 0.0000 0.7526 0.6490
Pr4 Pr 0.5000 0.2526 0.8510
Y1 Y 0.0000 0.0000 0.0000
Y2 Y 0.5000 0.5000 0.5000
Y3 Y 0.5000 0.7558 0.8248
Y4 Y 0.5000 0.2442 0.1752
Y5 Y 0.0000 0.2558 0.6752
Y6 Y 0.0000 0.7442 0.3248
Sc1 Sc 0.0000 0.0000 0.5000
Sc2 Sc 0.5000 0.5000 0.0000
```

Version ii
VASP calculation (GGA-PBE) on an optimized crystal structure of Pr2Y3Sc.

```
data_Pr2Y3Sc
_chemical_formula_sum 'Pr4 Y6 Sc2'
_space_group_name_H-M_alt 'P 1'
_space_group_IT_number 1
_space_group_name_Hall 'P 1'
_cell_length_a 8.9587
_cell_length_b 6.6451
_cell_length_c 6.6451
_cell_angle_alpha 95.41
_cell_angle_beta 82.45
_cell_angle_gamma 82.45
loop_
_atom_site_label
_atom_site_type_symbol
_atom_site_fract_x
_atom_site_fract_y
_atom_site_fract_z
Pr1 Pr 0.6250 0.1246 0.6243
Pr2 Pr 0.1250 0.6243 0.1246
Pr3 Pr 0.8750 0.3757 0.8754
Pr4 Pr 0.3750 0.8754 0.3757
Y1 Y 0.2500 0.4096 0.5904
Y2 Y 0.7500 0.5904 0.4096
Y3 Y 0.9999 0.8377 0.6778
Y4 Y 0.5001 0.3222 0.1623
Y5 Y 0.4999 0.6778 0.8377
Y6 Y 0.0001 0.1623 0.3222
Sc1 Sc 0.7500 0.9170 0.0830
Sc2 Sc 0.2500 0.0830 0.9170
```

The most stable arrangement is version ii, and the next structure is 0.184 eV/atom less stable.